1.
Here is LiPm2Ga5Ni2 after structural relaxation from Alexandria. Energies are from PBE-GGA.

Properties
**V**: 18.13 Å³ per atom
**Formation energy from the elements**: -527 meV/atom
**N(E_F)**: 11.21 states/eV per cell
**E_tot**: -86.76 eV for the cell shown

a = 9.472 Å, b = 9.472 Å, c = 4.043 Å
α = 90.00°, β = 90.00°, γ = 90.00°
Space group P4/mbm (No. 127)
One atom of each set of equivalent atoms:
Li 0.000 0.000 0.000 [2 per cell]
Pm 0.185 0.315 0.000 [4 per cell]
Ga 0.000 0.500 0.500 [2 per cell]
Ga 0.060 0.785 0.500 [8 per cell]
Ni 0.110 0.610 0.000 [4 per cell]

2.
Here is Li2PmGa4Ni after structural relaxation from Alexandria. Energies are from PBE-GGA.

Properties
**V**: 16.94 Å³ per atom
**Formation energy from the elements**: -419 meV/atom
**N(E_F)**: 10.39 states/eV per cell
**E_tot**: -89.45 eV for the cell shown

a = 4.2254 Å, b = 4.2254 Å, c = 26.2994 Å
α = 90.00°, β = 90.00°, γ = 120.00°
Space group R-3m (No. 166, hexagonal axes)
One atom of each set of equivalent atoms:
Li 0.0000 0.0000 0.2314 [6 per cell]
Pm 0.0000 0.0000 0.0000 [3 per cell]
Ga 0.0000 0.0000 0.1304 [6 per cell]
Ga 0.0000 0.0000 0.4056 [6 per cell]
Ni 0.0000 0.0000 0.5000 [3 per cell]

3.
Here is LiPmGa4Ni2 after structural relaxation from Alexandria. Energies are from PBE-GGA.

Properties
**V**: 16.12 Å³ per atom
**Formation energy from the elements**: -479 meV/atom
**N(E_F)**: 12.05 states/eV per cell
**E_tot**: -102.49 eV for the cell shown

a = 4.1386 Å, b = 4.1386 Å, c = 26.0887 Å
α = 90.00°, β = 90.00°, γ = 120.00°
Space group R-3m (No. 166, hexagonal axes)
One atom of each set of equivalent atoms:
Li 0.0000 0.0000 0.0000 [3 per cell]
Pm 0.0000 0.0000 0.5000 [3 per cell]
Ga 0.0000 0.0000 0.0960 [6 per cell]
Ga 0.0000 0.0000 0.3702 [6 per cell]
Ni 0.0000 0.0000 0.2693 [6 per cell]

4.
Here is LiPrGaNi after structural relaxation from Alexandria. Energies are from PBE-GGA.

Properties
**V**: 17.76 Å³ per atom
**Formation energy from the elements**: -305 meV/atom
**N(E_F)**: 24.37 states/eV per cell
**E_tot**: -66.89 eV for the cell shown

a = 6.574 Å, b = 6.574 Å, c = 6.574 Å
α = 90.00°, β = 90.00°, γ = 90.00°
Space group F-43m (No. 216)
One atom of each set of equivalent atoms:
Li 0.000 0.000 0.000 [4 per cell]
Pr 0.250 0.250 0.250 [4 per cell]
Ga 0.250 0.250 0.750 [4 per cell]
Ni 0.000 0.000 0.500 [4 per cell]

5.
Here is Li3Pr2GaNi12 after structural relaxation from Alexandria. Energies are from PBE-GGA.

Properties
**V**: 14.54 Å³ per atom
**Formation energy from the elements**: 121 meV/atom
**N(E_F)**: 75.32 states/eV per cell
**E_tot**: -256.59 eV for the cell shown

a = 5.7482 Å, b = 5.7482 Å, c = 27.4431 Å
α = 90.00°, β = 90.00°, γ = 120.00°
Space group R-3m (No. 166, hexagonal axes)
One atom of each set of equivalent atoms:
Li 0.0000 0.5000 0.0000 [9 per cell]
Pr 0.0000 0.0000 0.1421 [6 per cell]
Ga 0.0000 0.0000 0.5000 [3 per cell]
Ni 0.0381 0.5190 0.0971 [18 per cell]
Ni 0.0652 0.5326 0.6199 [18 per cell]

6.
Here is LiGaNiPt after structural relaxation from Alexandria. Energies are from PBE-GGA.

Properties
**V**: 12.93 Å³ per atom
**Formation energy from the elements**: -563 meV/atom
**N(E_F)**: 2.87 states/eV per cell
**E_tot**: -38.03 eV for the cell shown

a = 3.923 Å, b = 3.923 Å, c = 6.723 Å
α = 90.00°, β = 90.00°, γ = 90.00°
Space group I-4m2 (No. 119)
One atom of each set of equivalent atoms:
Li 0.000 0.000 0.000 [2 per cell]
Ga 0.000 0.000 0.500 [2 per cell]
Ni 0.000 0.500 0.750 [2 per cell]
Pt 0.000 0.500 0.250 [2 per cell]

7.
Here is LiGaNiPt2 after structural relaxation from Alexandria. Energies are from PBE-GGA.

Properties
**V**: 19.06 Å³ per atom
**Formation energy from the elements**: 299 meV/atom
**N(E_F)**: 0.75 states/eV per cell
**E_tot**: -21.31 eV for the cell shown

a = 4.659 Å, b = 4.659 Å, c = 4.389 Å
α = 90.00°, β = 90.00°, γ = 90.00°
Space group P4/mmm (No. 123)
One atom of each set of equivalent atoms:
Li 0.000 0.000 0.000 [1 per cell]
Ga 0.500 0.500 0.500 [1 per cell]
Ni 0.500 0.500 0.000 [1 per cell]
Pt 0.000 0.500 0.500 [2 per cell]

8.
Here is RbLiGa2Ni after structural relaxation from Alexandria. Energies are from PBE-GGA.

Properties
**V**: 22.81 Å³ per atom
**Formation energy from the elements**: -97 meV/atom
**N(E_F)**: 1.79 states/eV per cell
**E_tot**: -15.20 eV for the cell shown

a = 4.660 Å, b = 4.660 Å, c = 5.253 Å
α = 90.00°, β = 90.00°, γ = 90.00°
Space group P4/mmm (No. 123)
One atom of each set of equivalent atoms:
Rb 0.000 0.000 0.000 [1 per cell]
Li 0.500 0.500 0.000 [1 per cell]
Ga 0.000 0.500 0.500 [2 per cell]
Ni 0.500 0.500 0.500 [1 per cell]

9.
Here is LiGa4NiRh2 after structural relaxation from Alexandria. Energies are from PBE-GGA.

Properties
**V**: 13.69 Å³ per atom
**Formation energy from the elements**: -519 meV/atom
**N(E_F)**: 12.09 states/eV per cell
**E_tot**: -115.96 eV for the cell shown

a = 4.2552 Å, b = 4.2552 Å, c = 20.9502 Å
α = 90.00°, β = 90.00°, γ = 120.00°
Space group R-3m (No. 166, hexagonal axes)
One atom of each set of equivalent atoms:
Li 0.0000 0.0000 0.0000 [3 per cell]
Ga 0.0000 0.0000 0.1266 [6 per cell]
Ga 0.0000 0.0000 0.3755 [6 per cell]
Ni 0.0000 0.0000 0.5000 [3 per cell]
Rh 0.0000 0.0000 0.2493 [6 per cell]

10.
Here is LiGa4Ni2Ru after structural relaxation from Alexandria. Energies are from PBE-GGA.

Properties
**V**: 13.18 Å³ per atom
**Formation energy from the elements**: -370 meV/atom
**N(E_F)**: 5.92 states/eV per cell
**E_tot**: -113.46 eV for the cell shown

a = 4.2279 Å, b = 4.2279 Å, c = 20.4299 Å
α = 90.00°, β = 90.00°, γ = 120.00°
Space group R-3m (No. 166, hexagonal axes)
One atom of each set of equivalent atoms:
Li 0.0000 0.0000 0.0000 [3 per cell]
Ga 0.0000 0.0000 0.1271 [6 per cell]
Ga 0.0000 0.0000 0.3733 [6 per cell]
Ni 0.0000 0.0000 0.2516 [6 per cell]
Ru 0.0000 0.0000 0.5000 [3 per cell]

11.
Here is LiGa4NiRu2 after structural relaxation from Alexandria. Energies are from PBE-GGA.

Properties
**V**: 13.58 Å³ per atom
**Formation energy from the elements**: -330 meV/atom
**N(E_F)**: 13.61 states/eV per cell
**E_tot**: -122.99 eV for the cell shown

a = 4.2542 Å, b = 4.2542 Å, c = 20.7877 Å
α = 90.00°, β = 90.00°, γ = 120.00°
Space group R-3m (No. 166, hexagonal axes)
One atom of each set of equivalent atoms:
Li 0.0000 0.0000 0.0000 [3 per cell]
Ga 0.0000 0.0000 0.1246 [6 per cell]
Ga 0.0000 0.0000 0.3758 [6 per cell]
Ni 0.0000 0.0000 0.5000 [3 per cell]
Ru 0.0000 0.0000 0.2479 [6 per cell]

12.
Here is LiGaNi2Sb after structural relaxation from Alexandria. Energies are from PBE-GGA.

Properties
**V**: 24.01 Å³ per atom
**ΔE_f (raw)**: 2.81 eV per formula unit
**N(E_F)**: 6.50 states/eV per cell
**E_tot**: -17.81 eV for the cell shown

a = 4.738 Å, b = 4.738 Å, c = 5.347 Å
α = 90.00°, β = 90.00°, γ = 90.00°
Space group P4/mmm (No. 123)
One atom of each set of equivalent atoms:
Li 0.000 0.000 0.000 [1 per cell]
Ga 0.500 0.500 0.000 [1 per cell]
Ni 0.000 0.500 0.500 [2 per cell]
Sb 0.500 0.500 0.500 [1 per cell]

13.
Here is Li2GaSiNi after structural relaxation from Alexandria. Energies are from PBE-GGA.

Properties
**V**: 17.65 Å³ per atom
**ΔE_f (raw)**: 2.37 eV per formula unit
**N(E_F)**: 3.25 states/eV per cell
**E_tot**: -15.69 eV for the cell shown

a = 4.490 Å, b = 4.490 Å, c = 4.378 Å
α = 90.00°, β = 90.00°, γ = 90.00°
Space group P4/mmm (No. 123)
One atom of each set of equivalent atoms:
Li 0.000 0.500 0.000 [2 per cell]
Ga 0.000 0.000 0.000 [1 per cell]
Si 0.500 0.500 0.500 [1 per cell]
Ni 0.000 0.000 0.500 [1 per cell]

14.
Here is LiSmGa4Ni2 after structural relaxation from Alexandria. Energies are from PBE-GGA.

Properties
**V**: 16.03 Å³ per atom
**Formation energy from the elements**: -477 meV/atom
**N(E_F)**: 11.75 states/eV per cell
**E_tot**: -102.37 eV for the cell shown

a = 4.1354 Å, b = 4.1354 Å, c = 25.9713 Å
α = 90.00°, β = 90.00°, γ = 120.00°
Space group R-3m (No. 166, hexagonal axes)
One atom of each set of equivalent atoms:
Li 0.0000 0.0000 0.0000 [3 per cell]
Sm 0.0000 0.0000 0.5000 [3 per cell]
Ga 0.0000 0.0000 0.0964 [6 per cell]
Ga 0.0000 0.0000 0.3703 [6 per cell]
Ni 0.0000 0.0000 0.2688 [6 per cell]

15.
Here is LiSm2Ga3Ni4 after structural relaxation from Alexandria. Energies are from PBE-GGA.

Properties
**V**: 16.77 Å³ per atom
**Formation energy from the elements**: -469 meV/atom
**N(E_F)**: 6.67 states/eV per cell
**E_tot**: -48.25 eV for the cell shown

a = 4.086 Å, b = 4.086 Å, c = 10.040 Å
α = 90.00°, β = 90.00°, γ = 90.00°
Space group P-4m2 (No. 115)
One atom of each set of equivalent atoms:
Li 0.000 0.000 0.000 [1 per cell]
Sm 0.000 0.500 0.744 [2 per cell]
Ga 0.000 0.500 0.374 [2 per cell]
Ga 0.500 0.500 0.000 [1 per cell]
Ni 0.000 0.000 0.500 [1 per cell]
Ni 0.000 0.500 0.135 [2 per cell]
Ni 0.500 0.500 0.500 [1 per cell]

16.
Here is Sr2LiGaNi after structural relaxation from Alexandria. Energies are from PBE-GGA.

Properties
**V**: 30.81 Å³ per atom
**Formation energy from the elements**: -118 meV/atom
**N(E_F)**: 3.95 states/eV per cell
**E_tot**: -14.67 eV for the cell shown

a = 5.766 Å, b = 5.766 Å, c = 4.634 Å
α = 90.00°, β = 90.00°, γ = 90.00°
Space group P4/mmm (No. 123)
One atom of each set of equivalent atoms:
Sr 0.000 0.500 0.000 [2 per cell]
Li 0.000 0.000 0.500 [1 per cell]
Ga 0.500 0.500 0.500 [1 per cell]
Ni 0.500 0.500 0.000 [1 per cell]

17.
Here is SrLiGaNi2 after structural relaxation from Alexandria. Energies are from PBE-GGA.

Properties
**V**: 18.14 Å³ per atom
**Formation energy from the elements**: 270 meV/atom
**N(E_F)**: 3.60 states/eV per cell
**E_tot**: -16.83 eV for the cell shown

a = 4.492 Å, b = 4.492 Å, c = 4.495 Å
α = 90.00°, β = 90.00°, γ = 90.00°
Space group P4/mmm (No. 123)
One atom of each set of equivalent atoms:
Sr 0.000 0.000 0.000 [1 per cell]
Li 0.500 0.500 0.500 [1 per cell]
Ga 0.500 0.500 0.000 [1 per cell]
Ni 0.000 0.500 0.500 [2 per cell]

18.
Here is SrLiGa2Ni after structural relaxation from Alexandria. Energies are from PBE-GGA.

Properties
**V**: 20.77 Å³ per atom
**Formation energy from the elements**: -313 meV/atom
**N(E_F)**: 3.51 states/eV per cell
**E_tot**: -17.00 eV for the cell shown

a = 4.635 Å, b = 4.635 Å, c = 4.834 Å
α = 90.00°, β = 90.00°, γ = 90.00°
Space group P4/mmm (No. 123)
One atom of each set of equivalent atoms:
Sr 0.000 0.000 0.000 [1 per cell]
Li 0.500 0.500 0.000 [1 per cell]
Ga 0.000 0.500 0.500 [2 per cell]
Ni 0.500 0.500 0.500 [1 per cell]

19.
Here is LiTaGaNi after structural relaxation from Alexandria. Energies are from PBE-GGA.

Properties
**V**: 13.43 Å³ per atom
**Formation energy from the elements**: -133 meV/atom
**N(E_F)**: 10.67 states/eV per cell
**E_tot**: -92.43 eV for the cell shown

a = 5.989 Å, b = 5.989 Å, c = 5.989 Å
α = 90.00°, β = 90.00°, γ = 90.00°
Space group F-43m (No. 216)
One atom of each set of equivalent atoms:
Li 0.000 0.000 0.000 [4 per cell]
Ta 0.250 0.250 0.750 [4 per cell]
Ga 0.250 0.250 0.250 [4 per cell]
Ni 0.000 0.000 0.500 [4 per cell]

20.
Here is LiTbGaNi after structural relaxation from Alexandria. Energies are from PBE-GGA.

Properties
**V**: 16.51 Å³ per atom
**Formation energy from the elements**: -382 meV/atom
**N(E_F)**: 25.74 states/eV per cell
**E_tot**: -67.52 eV for the cell shown

a = 6.417 Å, b = 6.417 Å, c = 6.417 Å
α = 90.00°, β = 90.00°, γ = 90.00°
Space group F-43m (No. 216)
One atom of each set of equivalent atoms:
Li 0.000 0.000 0.000 [4 per cell]
Tb 0.250 0.250 0.750 [4 per cell]
Ga 0.250 0.250 0.250 [4 per cell]
Ni 0.000 0.000 0.500 [4 per cell]